(1)
# Ca2RePt | Alexandria | PBE | optimized geometry
# **Energy of formation**: 451.4 meV/atom
# **Volume**: 86.25 Å³/f.u.
data_Ca2RePt
_chemical_formula_sum 'Ca8 Re4 Pt4'
_space_group_name_H-M_alt 'F m -3 m'
_space_group_IT_number 225
_space_group_name_Hall '-F 4 2 3'
_cell_length_a 7.013
_cell_length_b 7.013
_cell_length_c 7.013
_cell_angle_alpha 90.00
_cell_angle_beta 90.00
_cell_angle_gamma 90.00
loop_
_atom_site_label
_atom_site_fract_x
_atom_site_fract_y
_atom_site_fract_z
Ca1 0.250 0.250 0.250
Re1 0.000 0.000 0.000
Pt1 0.000 0.000 0.500

(2)
# Ca2RePt | Alexandria | PBE | optimized geometry
# **Energy of formation**: 383.8 meV/atom
# **Volume**: 79.87 Å³/f.u.
data_Ca2RePt
_chemical_formula_sum 'Ca4 Re2 Pt2'
_space_group_name_H-M_alt 'C 1 2/m 1'
_space_group_IT_number 12
_space_group_name_Hall '-C 2y'
_cell_length_a 9.558
_cell_length_b 2.891
_cell_length_c 5.821
_cell_angle_alpha 90.00
_cell_angle_beta 96.70
_cell_angle_gamma 90.00
loop_
_atom_site_label
_atom_site_fract_x
_atom_site_fract_y
_atom_site_fract_z
Ca1 0.247 0.000 0.250
Re1 0.000 0.000 0.500
Pt1 0.000 0.500 0.000

(3)
# CaRePt2 | Alexandria | PBE | optimized geometry
# **Energy of formation**: -249.5 meV/atom
# **Volume**: 68.82 Å³/f.u.
data_CaRePt2
_chemical_formula_sum 'Ca1 Re1 Pt2'
_space_group_name_H-M_alt 'P 4/m m m'
_space_group_IT_number 123
_space_group_name_Hall '-P 4 2'
_cell_length_a 2.878
_cell_length_b 2.878
_cell_length_c 8.310
_cell_angle_alpha 90.00
_cell_angle_beta 90.00
_cell_angle_gamma 90.00
loop_
_atom_site_label
_atom_site_fract_x
_atom_site_fract_y
_atom_site_fract_z
Ca1 0.000 0.000 0.000
Re1 0.000 0.000 0.500
Pt1 0.500 0.500 0.278

(4)
# Ca2RePt | Alexandria | PBE | optimized geometry
# **Energy of formation**: 193.9 meV/atom
# **Volume**: 95.62 Å³/f.u.
data_Ca2RePt
_chemical_formula_sum 'Ca2 Re1 Pt1'
_space_group_name_H-M_alt 'P 4 m m'
_space_group_IT_number 99
_space_group_name_Hall 'P 4 -2'
_cell_length_a 3.259
_cell_length_b 3.259
_cell_length_c 9.001
_cell_angle_alpha 90.00
_cell_angle_beta 90.00
_cell_angle_gamma 90.00
loop_
_atom_site_label
_atom_site_fract_x
_atom_site_fract_y
_atom_site_fract_z
Ca1 0.000 0.000 0.000
Ca2 0.500 0.500 0.385
Re1 0.500 0.500 0.761
Pt1 0.000 0.000 0.616

(5)
# CaRePt2 | Alexandria | PBE | optimized geometry
# **Energy of formation**: 141.4 meV/atom
# **Volume**: 68.52 Å³/f.u.
data_CaRePt2
_chemical_formula_sum 'Ca2 Re2 Pt4'
_space_group_name_H-M_alt 'I -4 m 2'
_space_group_IT_number 119
_space_group_name_Hall 'I -4 -2'
_cell_length_a 4.031
_cell_length_b 4.031
_cell_length_c 8.433
_cell_angle_alpha 90.00
_cell_angle_beta 90.00
_cell_angle_gamma 90.00
loop_
_atom_site_label
_atom_site_fract_x
_atom_site_fract_y
_atom_site_fract_z
Ca1 0.000 0.000 0.000
Re1 0.000 0.500 0.250
Pt1 0.000 0.000 0.500
Pt2 0.000 0.500 0.750

(6)
# CaRePt2 | Alexandria | PBE | optimized geometry
# **Energy of formation**: 113.9 meV/atom
# **Volume**: 69.99 Å³/f.u.
data_CaRePt2
_chemical_formula_sum 'Ca2 Re2 Pt4'
_space_group_name_H-M_alt 'I m m m'
_space_group_IT_number 71
_space_group_name_Hall '-I 2 2'
_cell_length_a 4.205
_cell_length_b 4.345
_cell_length_c 7.661
_cell_angle_alpha 90.00
_cell_angle_beta 90.00
_cell_angle_gamma 90.00
loop_
_atom_site_label
_atom_site_fract_x
_atom_site_fract_y
_atom_site_fract_z
Ca1 0.000 0.000 0.000
Re1 0.000 0.000 0.500
Pt1 0.000 0.500 0.244

(7)
# Ca2RePt | Alexandria | PBE | optimized geometry
# **Energy of formation**: 342.7 meV/atom
# **Volume**: 82.98 Å³/f.u.
data_Ca2RePt
_chemical_formula_sum 'Ca2 Re1 Pt1'
_space_group_name_H-M_alt 'P 4/m m m'
_space_group_IT_number 123
_space_group_name_Hall '-P 4 2'
_cell_length_a 4.417
_cell_length_b 4.417
_cell_length_c 4.253
_cell_angle_alpha 90.00
_cell_angle_beta 90.00
_cell_angle_gamma 90.00
loop_
_atom_site_label
_atom_site_fract_x
_atom_site_fract_y
_atom_site_fract_z
Ca1 0.000 0.500 0.000
Re1 0.000 0.000 0.500
Pt1 0.500 0.500 0.500

(8)
# CaRePt2 | Alexandria | PBE | optimized geometry
# **Energy of formation**: -38.1 meV/atom
# **Volume**: 72.05 Å³/f.u.
data_CaRePt2
_chemical_formula_sum 'Ca1 Re1 Pt2'
_space_group_name_H-M_alt 'P m m 2'
_space_group_IT_number 25
_space_group_name_Hall 'P 2 -2'
_cell_length_a 2.791
_cell_length_b 4.228
_cell_length_c 6.106
_cell_angle_alpha 90.00
_cell_angle_beta 90.00
_cell_angle_gamma 90.00
loop_
_atom_site_label
_atom_site_fract_x
_atom_site_fract_y
_atom_site_fract_z
Ca1 0.000 0.000 0.000
Re1 0.500 0.500 0.664
Pt1 0.000 0.000 0.517
Pt2 0.500 0.500 0.235

(9)
# CaRePt2 | Alexandria | PBE | optimized geometry
# **Energy of formation**: -224.7 meV/atom
# **Volume**: 67.90 Å³/f.u.
data_CaRePt2
_chemical_formula_sum 'Ca1 Re1 Pt2'
_space_group_name_H-M_alt 'P 1 m 1'
_space_group_IT_number 6
_space_group_name_Hall 'P -2y'
_cell_length_a 2.804
_cell_length_b 4.822
_cell_length_c 5.022
_cell_angle_alpha 90.00
_cell_angle_beta 90.05
_cell_angle_gamma 90.00
loop_
_atom_site_label
_atom_site_fract_x
_atom_site_fract_y
_atom_site_fract_z
Ca1 0.000 0.000 0.000
Re1 0.002 0.500 0.594
Pt1 0.500 0.500 0.108
Pt2 0.501 0.000 0.501

(10)
# CaRePt2 | Alexandria | PBE | optimized geometry
# **Energy of formation**: 299.5 meV/atom
# **Volume**: 68.85 Å³/f.u.
data_CaRePt2
_chemical_formula_sum 'Ca4 Re4 Pt8'
_space_group_name_H-M_alt 'F -4 3 m'
_space_group_IT_number 216
_space_group_name_Hall 'F -4 2 3'
_cell_length_a 6.506
_cell_length_b 6.506
_cell_length_c 6.506
_cell_angle_alpha 90.00
_cell_angle_beta 90.00
_cell_angle_gamma 90.00
loop_
_atom_site_label
_atom_site_fract_x
_atom_site_fract_y
_atom_site_fract_z
Ca1 0.000 0.000 0.000
Re1 0.250 0.250 0.250
Pt1 0.000 0.000 0.500
Pt2 0.250 0.250 0.750

(11)
# CaRePt2 | Alexandria | PBE | optimized geometry
# **Energy of formation**: 108.4 meV/atom
# **Volume**: 68.35 Å³/f.u.
data_CaRePt2
_chemical_formula_sum 'Ca3 Re3 Pt6'
_space_group_name_H-M_alt 'R -3 m'
_space_group_IT_number 166
_space_group_name_Hall '-R 3 2"'
_cell_length_a 2.8955
_cell_length_b 2.8955
_cell_length_c 28.2403
_cell_angle_alpha 90.00
_cell_angle_beta 90.00
_cell_angle_gamma 120.00
loop_
_atom_site_label
_atom_site_fract_x
_atom_site_fract_y
_atom_site_fract_z
Ca1 0.0000 0.0000 0.0000
Re1 0.0000 0.0000 0.5000
Pt1 0.0000 0.0000 0.2451

(12)
# CaRePt2 | Alexandria | PBE | optimized geometry
# **Energy of formation**: 335.3 meV/atom
# **Volume**: 103.49 Å³/f.u.
data_CaRePt2
_chemical_formula_sum 'Ca4 Re4 Pt8'
_space_group_name_H-M_alt 'I -4 2 d'
_space_group_IT_number 122
_space_group_name_Hall 'I -4 2bw'
_cell_length_a 5.007
_cell_length_b 5.007
_cell_length_c 16.511
_cell_angle_alpha 90.00
_cell_angle_beta 90.00
_cell_angle_gamma 90.00
loop_
_atom_site_label
_atom_site_fract_x
_atom_site_fract_y
_atom_site_fract_z
Ca1 0.000 0.000 0.000
Re1 0.000 0.000 0.500
Pt1 0.080 0.250 0.625

(13)
# Ca2RePt | Alexandria | PBE | optimized geometry
# **Energy of formation**: 577.0 meV/atom
# **Volume**: 88.84 Å³/f.u.
data_Ca2RePt
_chemical_formula_sum 'Ca8 Re4 Pt4'
_space_group_name_H-M_alt 'I -4 2 d'
_space_group_IT_number 122
_space_group_name_Hall 'I -4 2bw'
_cell_length_a 8.051
_cell_length_b 8.051
_cell_length_c 5.482
_cell_angle_alpha 90.00
_cell_angle_beta 90.00
_cell_angle_gamma 90.00
loop_
_atom_site_label
_atom_site_fract_x
_atom_site_fract_y
_atom_site_fract_z
Ca1 0.224 0.250 0.125
Re1 0.000 0.000 0.500
Pt1 0.000 0.000 0.000

(14)
# CaRePt2 | Alexandria | PBE | optimized geometry
# **Energy of formation**: 214.5 meV/atom
# **Volume**: 69.00 Å³/f.u.
data_CaRePt2
_chemical_formula_sum 'Ca3 Re3 Pt6'
_space_group_name_H-M_alt 'R 3 m'
_space_group_IT_number 160
_space_group_name_Hall 'R 3 -2"'
_cell_length_a 2.8969
_cell_length_b 2.8969
_cell_length_c 28.4851
_cell_angle_alpha 90.00
_cell_angle_beta 90.00
_cell_angle_gamma 120.00
loop_
_atom_site_label
_atom_site_fract_x
_atom_site_fract_y
_atom_site_fract_z
Ca1 0.0000 0.0000 0.0000
Re1 0.0000 0.0000 0.2423
Pt1 0.0000 0.0000 0.5011
Pt2 0.0000 0.0000 0.7517

(15)
# Ca3RePt | Alexandria | PBE | optimized geometry
# **Energy of formation**: 827.6 meV/atom
# **Volume**: 148.01 Å³/f.u.
data_Ca3RePt
_chemical_formula_sum 'Ca3 Re1 Pt1'
_space_group_name_H-M_alt 'P m -3 m'
_space_group_IT_number 221
_space_group_name_Hall '-P 4 2 3'
_cell_length_a 5.290
_cell_length_b 5.290
_cell_length_c 5.290
_cell_angle_alpha 90.00
_cell_angle_beta 90.00
_cell_angle_gamma 90.00
loop_
_atom_site_label
_atom_site_fract_x
_atom_site_fract_y
_atom_site_fract_z
Ca1 0.000 0.000 0.500
Re1 0.000 0.000 0.000
Pt1 0.500 0.500 0.500